SrLi2La2Si2 after structural relaxation, computed with PBE-GGA.

It has space group R-3m (No. 166, hexagonal axes), with a = 4.6579 Å, b = 4.6579 Å, c = 28.3186 Å, α = 90.00°, β = 90.00° and γ = 120.00°. The asymmetric unit holds Sr at (0.0000, 0.0000, 0.0000), Li at (0.0000, 0.0000, 0.4095), La at (0.0000, 0.0000, 0.1335) and Si at (0.0000, 0.0000, 0.2542).

For the total energy, the calculation gives -4.124 eV per atom. For the magnetization, the calculation gives 0.00 μB per formula unit. As for the volume: 25.34 Å³/atom.


Li2Np3AgSe6 after structural relaxation, computed with PBE-GGA.

It has space group C2/m (No. 12), with a = 17.455 Å, b = 4.150 Å, c = 7.989 Å, α = 90.00°, β = 99.77° and γ = 90.00°. The asymmetric unit holds Li at (0.172, 0.000, 0.346), Np at (0.000, 0.500, 0.500), Np at (0.161, 0.000, 0.844), Ag at (0.000, 0.500, 0.000), Se at (0.007, 0.000, 0.254), Se at (0.167, 0.500, 0.591) and Se at (0.171, 0.500, 0.098).

For the total energy, the calculation gives -6.569 eV per atom. For the magnetization, the calculation gives 12.00 μB per formula unit. As for the volume: 23.76 Å³/atom.


Si2OsPt after structural relaxation, computed with PBE-GGA.

It has space group Cm (No. 8), with a = 8.478 Å, b = 3.112 Å, c = 4.363 Å, α = 90.00°, β = 104.38° and γ = 90.00°. The asymmetric unit holds Si at (0.000, 0.000, 0.000), Si at (0.241, 0.000, 0.646), Os at (0.231, 0.500, 0.098) and Pt at (0.000, 0.500, 0.505).

For the total energy, the calculation gives -7.442 eV per atom. For the magnetization, the calculation gives 0.00 μB per formula unit. As for the volume: 13.94 Å³/atom.